# 1
VASP calculation (GGA-PBE) on crystalline ThMgCo at its relaxed geometry.

Cell: 4.6483 4.6483 4.6483 Å, 60.00 60.00 60.00°
With the nearest neighbours (Å) after each atom.
Positions (direct):
Mg1 0.0000 0.0000 0.0000  4 Co 2.85, 4 Th 2.85
Co1 0.2500 0.2500 0.2500  4 Mg 2.85
Th1 0.7500 0.7500 0.7500  4 Mg 2.85

Computed properties:
volume = 23.67 A^3/atom
electronic total energy = -13.7 eV/f.u.
symmetry = F-43m, No. 216



# 2
VASP calculation (GGA-PBE) on crystalline MgTlCoW at its relaxed geometry.

Cell: 4.5166 4.5166 4.5166 Å, 60.00 60.00 60.00°
With the nearest neighbours (Å) after each atom.
Positions (direct):
W1 0.5000 0.5000 0.5000  4 Co 2.77, 4 Mg 2.77
Mg1 0.2500 0.2500 0.2500  4 W 2.77, 4 Tl 2.77
Tl1 0.0000 0.0000 0.0000  4 Co 2.77, 4 Mg 2.77
Co1 0.7500 0.7500 0.7500  4 Tl 2.77, 4 W 2.77

Computed properties:
volume = 16.29 A^3/atom
electronic total energy = -21.0 eV/f.u.
distance to the lowest polymorph of the same formula = 0 meV per atom
symmetry = F-43m, No. 216



# 3
VASP calculation (GGA-PBE) on crystalline MgTlCoW at its relaxed geometry.

Cell: 4.5755 4.5755 4.5755 Å, 60.00 60.00 60.00°
With the nearest neighbours (Å) after each atom.
Positions (direct):
Tl1 0.0000 0.0000 0.0000  4 W 2.80, 4 Co 2.80
Mg1 0.5000 0.5000 0.5000  4 W 2.80, 4 Co 2.80
W1 0.2500 0.2500 0.2500  4 Mg 2.80, 4 Tl 2.80
Co1 0.7500 0.7500 0.7500  4 Tl 2.80, 4 Mg 2.80

Computed properties:
volume = 16.93 A^3/atom
electronic total energy = -20.4 eV/f.u.
distance to the lowest polymorph of the same formula = 141 meV per atom
symmetry = F-43m, No. 216



# 4
VASP calculation (GGA-PBE) on crystalline YMgTlCo at its relaxed geometry.

Cell: 4.8495 4.8495 4.8495 Å, 60.00 60.00 60.00°
With the nearest neighbours (Å) after each atom.
Positions (direct):
Mg1 0.5000 0.5000 0.5000  4 Co 2.97, 4 Y 2.97
Y1 0.2500 0.2500 0.2500  4 Mg 2.97, 4 Tl 2.97
Co1 0.7500 0.7500 0.7500  4 Mg 2.97, 4 Tl 2.97
Tl1 0.0000 0.0000 0.0000  4 Co 2.97, 4 Y 2.97

Computed properties:
volume = 20.16 A^3/atom
electronic total energy = -17.0 eV/f.u.
distance to the lowest polymorph of the same formula = 52 meV per atom
symmetry = F-43m, No. 216



# 5
VASP calculation (GGA-PBE) on crystalline YMgTlCo at its relaxed geometry.

Cell: 4.8305 4.8305 4.8305 Å, 60.00 60.00 60.00°
With the nearest neighbours (Å) after each atom.
Positions (direct):
Mg1 0.2500 0.2500 0.2500  4 Tl 2.96, 4 Y 2.96
Tl1 0.0000 0.0000 0.0000  4 Mg 2.96, 4 Co 2.96
Y1 0.5000 0.5000 0.5000  4 Mg 2.96, 4 Co 2.96
Co1 0.7500 0.7500 0.7500  4 Tl 2.96, 4 Y 2.96

Computed properties:
volume = 19.93 A^3/atom
electronic total energy = -17.2 eV/f.u.
distance to the lowest polymorph of the same formula = 0 meV per atom
symmetry = F-43m, No. 216



# 6
VASP calculation (GGA-PBE) on crystalline MgZnCoW at its relaxed geometry.

Cell: 4.3007 4.3007 4.3007 Å, 60.00 60.00 60.00°
With the nearest neighbours (Å) after each atom.
Positions (direct):
Co1 0.7500 0.7500 0.7500  4 W 2.63, 4 Zn 2.63
W1 0.5000 0.5000 0.5000  4 Co 2.63, 4 Mg 2.63
Mg1 0.2500 0.2500 0.2500  4 Zn 2.63, 4 W 2.63
Zn1 0.0000 0.0000 0.0000  4 Mg 2.63, 4 Co 2.63

Computed properties:
volume = 14.06 A^3/atom
electronic total energy = -21.3 eV/f.u.
distance to the lowest polymorph of the same formula = 0 meV per atom
symmetry = F-43m, No. 216



# 7
VASP calculation (GGA-PBE) on crystalline MgZnCoW at its relaxed geometry.

Cell: 4.3425 4.3425 4.3425 Å, 60.00 60.00 60.00°
With the nearest neighbours (Å) after each atom.
Positions (direct):
Co1 0.7500 0.7500 0.7500  4 Mg 2.66, 4 Zn 2.66
W1 0.2500 0.2500 0.2500  4 Zn 2.66, 4 Mg 2.66
Zn1 0.0000 0.0000 0.0000  4 W 2.66, 4 Co 2.66
Mg1 0.5000 0.5000 0.5000  4 Co 2.66, 4 W 2.66

Computed properties:
volume = 14.48 A^3/atom
electronic total energy = -20.3 eV/f.u.
distance to the lowest polymorph of the same formula = 261 meV per atom
symmetry = F-43m, No. 216



# 8
VASP calculation (GGA-PBE) on crystalline Y9Mg4Co at its relaxed geometry.

Cell: 9.6754 9.6754 9.6563 Å, 90.00 90.00 120.00°
With the nearest neighbours (Å) after each atom.
Positions (direct):
Y1 0.7891 0.2109 0.5622  1 Co 2.74
Y2 0.7891 0.5782 0.9378  1 Co 2.74
Y3 0.7891 0.2109 0.9378  1 Co 2.74
Y4 0.4218 0.2109 0.9378  1 Co 2.74
Y5 0.5782 0.7891 0.4378  1 Co 2.74
Y6 0.4218 0.2109 0.5622  1 Co 2.74
Y7 0.5430 0.4570 0.2500  2 Mg 3.28, 1 Co 3.51, 10 Y 3.55-3.65
Y8 0.0860 0.5430 0.7500  2 Mg 3.28, 1 Co 3.51, 10 Y 3.55-3.65
Y9 0.5782 0.7891 0.0622  1 Co 2.74
Y10 0.9140 0.4570 0.2500  2 Mg 3.28, 1 Co 3.51, 10 Y 3.55-3.65
Y11 0.4570 0.9140 0.7500  2 Mg 3.28, 1 Co 3.51, 10 Y 3.55-3.65
Y12 0.5430 0.0860 0.2500  2 Mg 3.28, 1 Co 3.51, 10 Y 3.55-3.65
Y13 0.2109 0.4218 0.4378  1 Co 2.74
Y14 0.7891 0.5782 0.5622  1 Co 2.74
Y15 0.2109 0.4218 0.0622  1 Co 2.74
Y16 0.2109 0.7891 0.4378  1 Co 2.74
Y17 0.2109 0.7891 0.0622  1 Co 2.74
Y18 0.4570 0.5430 0.7500  2 Mg 3.28, 1 Co 3.51, 10 Y 3.55-3.65
Co1 0.6667 0.3333 0.7500  6 Y 2.74
Co2 0.3333 0.6667 0.2500  6 Y 2.74
Mg1 0.8920 0.1080 0.2500  4 Mg 3.02-3.13, 2 Y 3.28
Mg2 0.0000 0.0000 0.0000  6 Mg 3.02
Mg3 0.0000 0.0000 0.5000  6 Mg 3.02
Mg4 0.2159 0.1080 0.2500  4 Mg 3.02-3.13, 2 Y 3.28
Mg5 0.1080 0.8920 0.7500  4 Mg 3.02-3.13, 2 Y 3.28
Mg6 0.1080 0.2159 0.7500  4 Mg 3.02-3.13, 2 Y 3.28
Mg7 0.7841 0.8920 0.7500  4 Mg 3.02-3.13, 2 Y 3.28
Mg8 0.8920 0.7841 0.2500  4 Mg 3.02-3.13, 2 Y 3.28

Computed properties:
volume = 27.96 A^3/atom
electronic total energy = -73.2 eV/f.u.
symmetry = P6_3/mmc, No. 194



Which value of volume does entry 8 give? 27.96 A^3/atom